AcLaY14 after structural relaxation, computed with PBE.

abc: 11.667 7.281 12.529
angles: 90.00 90.00 90.00
Space group Amm2 (No. 38)
Unique sites:
Ac 0.000 0.000 0.000 x2
La 0.000 0.000 0.501 x2
Y 0.000 0.249 0.251 x4
Y 0.252 0.000 0.669 x4
Y 0.254 0.000 0.169 x4
Y 0.257 0.249 0.417 x8
Y 0.500 0.000 0.335 x2
Y 0.500 0.000 0.834 x2
Y 0.500 0.249 0.586 x4

Summary:
- mass density (g/cm3) = 5.03
- formation enthalpy at 0 K (eV/atom) = 0.019
- Fermi-level density of states (states/eV/cell) = 45.28
- total moment (μB per cell) = 0.0

---

Ac6La2Y3 after structural relaxation, computed with PBE.

abc: 6.655 11.457 12.239
angles: 90.00 99.64 90.00
Space group C2/m (No. 12)
Unique sites:
Ac 0.243 0.000 0.251 x4
Ac 0.244 0.333 0.246 x8
La 0.000 0.329 0.500 x4
Y 0.000 0.165 0.000 x4
Y 0.000 0.500 0.000 x2

Summary:
- mass density (g/cm3) = 6.88
- formation enthalpy at 0 K (eV/atom) = 0.174
- Fermi-level density of states (states/eV/cell) = 30.17
- total moment (μB per cell) = 0.0

---

Ac5La2Y5 after structural relaxation, computed with PBE.

abc: 17.631 6.039 10.305
angles: 90.00 122.70 90.00
Space group C2/m (No. 12)
Unique sites:
Ac 0.000 0.000 0.000 x2
Ac 0.177 0.000 0.854 x4
Ac 0.236 0.500 0.699 x4
La 0.091 0.000 0.421 x4
Y 0.000 0.500 0.500 x2
Y 0.072 0.500 0.878 x4
Y 0.152 0.500 0.280 x4

Summary:
- mass density (g/cm3) = 6.68
- formation enthalpy at 0 K (eV/atom) = 0.103
- Fermi-level density of states (states/eV/cell) = 41.42
- total moment (μB per cell) = 0.0

---

Ac5La6Y2 after structural relaxation, computed with PBE.

abc: 12.107 22.345 3.830
angles: 90.00 90.00 90.00
Space group Pbam (No. 55)
Unique sites:
Ac 0.000 0.000 0.000 x2
Ac 0.055 0.290 0.000 x4
Ac 0.191 0.580 0.000 x4
La 0.057 0.144 0.500 x4
La 0.086 0.438 0.500 x4
La 0.186 0.870 0.000 x4
Y 0.204 0.732 0.500 x4

Summary:
- mass density (g/cm3) = 6.88
- formation enthalpy at 0 K (eV/atom) = 0.086
- Fermi-level density of states (states/eV/cell) = 34.49
- total moment (μB per cell) = 0.0

---

Ac4LaY3 after structural relaxation, computed with PBE.

abc: 5.440 10.842 10.601
angles: 90.00 90.00 90.00
Space group Pmmn (No. 59, origin choice 2)
Unique sites:
Ac 0.250 0.000 0.136 x4
Ac 0.250 0.250 0.862 x2
Ac 0.250 0.750 0.863 x2
La 0.250 0.250 0.390 x2
Y 0.250 0.502 0.612 x4
Y 0.250 0.750 0.385 x2

Summary:
- mass density (g/cm3) = 6.98
- formation enthalpy at 0 K (eV/atom) = 0.049
- Fermi-level density of states (states/eV/cell) = 29.62
- total moment (μB per cell) = 0.0

---

Ac2LaY8 after structural relaxation, computed with PBE.

abc: 6.765 6.934 9.144
angles: 112.00 98.55 95.78
Space group P-1 (No. 2)
Unique sites:
Ac 0.249 0.393 0.051 x2
La 0.500 0.500 0.500 x1
Y 0.002 0.629 0.373 x2
Y 0.120 0.058 0.278 x2
Y 0.288 0.822 0.913 x2
Y 0.389 0.079 0.665 x2

Summary:
- mass density (g/cm3) = 5.59
- formation enthalpy at 0 K (eV/atom) = 0.081
- Fermi-level density of states (states/eV/cell) = 18.63
- total moment (μB per cell) = 0.0